DFT (PBE) results for an optimized crystal structure of ThMg4Ag.

The spin magnetization comes out at 0.00 μB/cell. The formation energy is -1.76 kcal/mol of atoms. The energy above the most stable polymorph in this dataset is 0 meV/atom. Its volume is 23.103 Å³ per atom.

Unit cell a=3.400 b=3.400 c=11.994 alpha=90.00 beta=90.00 gamma=90.00
Fractional positions:
Mg (0.000, 0.000, 0.368)
Mg (0.500, 0.500, 0.798)
Mg (0.500, 0.500, 0.202)
Mg (0.000, 0.000, 0.632)
Th (0.000, 0.000, 0.000)
Ag (0.500, 0.500, 0.500)